Entry from Alexandria via LeMat-Bulk: Ta2TiCu2 after structural relaxation (PBE).

Cell lengths 7.1758, 7.1758, 3.0729 Å; angles 90.00, 90.00, 90.00 degrees
Closest atoms and distances in Å follow each position.
Fractional positions:
Ta 0.1770 0.3230 0.0000  6 Cu 2.57-2.66
Ta 0.3230 0.8230 0.0000  6 Cu 2.57-2.66
Ta 0.6770 0.1770 0.0000  6 Cu 2.57-2.66
Ta 0.8230 0.6770 0.0000  6 Cu 2.57-2.66
Ti 0.0000 0.0000 0.5000  4 Cu 2.86, 8 Ta 3.06, 2 Ti 3.07
Ti 0.5000 0.5000 0.5000  4 Cu 2.86, 8 Ta 3.06, 2 Ti 3.07
Cu 0.1206 0.6206 0.5000  1 Cu 2.45, 6 Ta 2.57-2.66
Cu 0.3794 0.1206 0.5000  1 Cu 2.45, 6 Ta 2.57-2.66
Cu 0.6206 0.8794 0.5000  1 Cu 2.45, 6 Ta 2.57-2.66
Cu 0.8794 0.3794 0.5000  1 Cu 2.45, 6 Ta 2.57-2.66

## Properties
SG: P4/mbm (127)
Energy of formation from the pure elements (kJ/mol of atoms): 18.8
Total magnetization (μB/cell): 1.6

Entry from Alexandria via LeMat-Bulk: MgIN2F after structural relaxation (PBE).

Cell lengths 4.1661, 4.1661, 6.0869 Å; angles 90.00, 90.00, 90.00 degrees
Closest atoms and distances in Å follow each position.
Fractional positions:
Mg 0.0000 0.0000 0.0000  4 N 2.08
I 0.0000 0.0000 0.5000  4 F 2.95, 2 Mg 3.04
N 0.0000 0.5000 0.0000  2 Mg 2.08
N 0.5000 0.0000 0.0000  2 Mg 2.08
F 0.5000 0.5000 0.5000  4 I 2.95

## Properties
SG: P4/mmm (123)
ΔE_f (raw) (kJ/mol of formula units): 530
Total magnetization (μB/cell): 3.4
E above lowest polymorph (meV/atom): 584

Entry from Alexandria via LeMat-Bulk: Dy2HoMgTl4 after structural relaxation (PBE).

Cell lengths 9.3856, 9.3856, 9.3856 Å; angles 32.49, 32.49, 32.49 degrees
Closest atoms and distances in Å follow each position.
Fractional positions:
Dy 0.2439 0.2439 0.2439  8 Tl 3.17-3.50
Dy 0.7561 0.7561 0.7561  8 Tl 3.17-3.50
Ho 0.0000 0.0000 0.0000  8 Tl 3.23-3.30
Mg 0.5000 0.5000 0.5000  8 Tl 3.24-3.32
Tl 0.1239 0.1239 0.1239  4 Dy 3.17-3.20, 3 Mg 3.24, 1 Ho 3.30
Tl 0.3753 0.3753 0.3753  3 Ho 3.23, 4 Dy 3.28-3.50, 1 Mg 3.32
Tl 0.6247 0.6247 0.6247  3 Ho 3.23, 4 Dy 3.28-3.50, 1 Mg 3.32
Tl 0.8761 0.8761 0.8761  4 Dy 3.17-3.20, 3 Mg 3.24, 1 Ho 3.30

## Properties
SG: R-3m (166)
Energy of formation from the pure elements (kJ/mol of atoms): -27.3
Total magnetization (μB/cell): 0.0

Entry from Alexandria via LeMat-Bulk: Li2Tm5Sn4 after structural relaxation (PBE).

Cell lengths 10.7722, 10.7722, 10.7722 Å; angles 161.17, 134.84, 49.34 degrees
Closest atoms and distances in Å follow each position.
Fractional positions:
Li 0.0792 0.0792 0.0000  5 Sn 2.66-2.82
Li 0.9208 0.9208 0.0000  5 Sn 2.66-2.82
Tm 0.1343 0.3448 0.7895  4 Sn 3.08-3.19, 2 Li 3.32
Tm 0.4447 0.6552 0.7895  4 Sn 3.08-3.19, 2 Li 3.32
Tm 0.5000 0.0000 0.5000  4 Sn 3.12
Tm 0.5553 0.3448 0.2105  4 Sn 3.08-3.19, 2 Li 3.32
Tm 0.8657 0.6552 0.2105  4 Sn 3.08-3.19, 2 Li 3.32
Sn 0.1882 0.5000 0.6882  4 Li 2.82, 1 Sn 3.11, 4 Tm 3.12-3.15
Sn 0.2149 0.2149 0.0000  1 Li 2.66
Sn 0.7851 0.7851 0.0000  1 Li 2.66
Sn 0.8118 0.5000 0.3118  4 Li 2.82, 1 Sn 3.11, 4 Tm 3.12-3.15

## Properties
SG: Immm (71)
Energy of formation from the pure elements (kJ/mol of atoms): -35.3
Total magnetization (μB/cell): 0.0

Entry from Alexandria via LeMat-Bulk: NaTlZn after structural relaxation (PBE).

Cell lengths 6.7030, 6.7030, 5.7456 Å; angles 98.33, 98.33, 38.10 degrees
Closest atoms and distances in Å follow each position.
Fractional positions:
Na 0.1271 0.1271 0.3400  4 Zn 3.07-3.28, 2 Tl 3.34
Na 0.8729 0.8729 0.6600  4 Zn 3.07-3.28, 2 Tl 3.34
Tl 0.4268 0.4268 0.2219  3 Zn 2.89-3.00
Tl 0.5732 0.5732 0.7781  3 Zn 2.89-3.00
Zn 0.2225 0.2225 0.8803  2 Zn 2.62, 2 Tl 2.89
Zn 0.7775 0.7775 0.1197  2 Zn 2.62, 2 Tl 2.89

## Properties
SG: C2/m (12)
Energy of formation from the pure elements (kJ/mol of atoms): -0.4
Total magnetization (μB/cell): 0.0
E above lowest polymorph (meV/atom): 22

Entry from Alexandria via LeMat-Bulk: LaNdSm3Ho after structural relaxation (PBE).

Cell lengths 10.6022, 10.6022, 6.9869 Å; angles 90.84, 90.84, 31.70 degrees
Closest atoms and distances in Å follow each position.
Fractional positions:
La 0.1462 0.1462 0.0262  1 Ho 3.09, 2 Sm 3.22-3.38
La 0.8538 0.8538 0.9738  1 Ho 3.09, 2 Sm 3.22-3.38
Nd 0.4452 0.4452 0.7360  3 Sm 3.27-3.36
Nd 0.5548 0.5548 0.2640  3 Sm 3.27-3.36
Sm 0.0198 0.0198 0.7443  1 La 3.22, 1 Ho 3.25, 2 Nd 3.27, 1 Sm 3.50
Sm 0.2805 0.2805 0.7481  3 Ho 3.33-3.60, 1 Nd 3.36, 3 La 3.38-3.61, 1 Sm 3.58
Sm 0.3369 0.3369 0.2651  2 Ho 3.45, 2 La 3.56, 4 Sm 3.58-3.77
Sm 0.6631 0.6631 0.7349  2 Ho 3.45, 2 La 3.56, 4 Sm 3.58-3.77
Sm 0.7195 0.7195 0.2519  3 Ho 3.33-3.60, 1 Nd 3.36, 3 La 3.38-3.61, 1 Sm 3.58
Sm 0.9802 0.9802 0.2557  1 La 3.22, 1 Ho 3.25, 2 Nd 3.27, 1 Sm 3.50
Ho 0.1467 0.1467 0.4691  1 La 3.09, 4 Sm 3.25-3.45
Ho 0.8533 0.8533 0.5309  1 La 3.09, 4 Sm 3.25-3.45

## Properties
SG: C2/m (12)
Energy of formation from the pure elements (kJ/mol of atoms): 16.5
Total magnetization (μB/cell): 0.0

Entry from Alexandria via LeMat-Bulk: Na2PmHgO4 after structural relaxation (PBE).

Cell lengths 6.0735, 3.4575, 6.1852 Å; angles 90.00, 112.80, 90.00 degrees
Closest atoms and distances in Å follow each position.
Fractional positions:
Na 0.0000 0.0000 0.0000  6 O 2.38-2.58
Na 0.5000 0.5000 0.0000  6 O 2.53-2.66
Pm 0.0000 0.5000 0.5000  6 O 2.33-2.46
Hg 0.5000 0.0000 0.5000  4 O 2.28
O 0.2121 0.0000 0.7466  2 Pm 2.33, 3 Na 2.38-2.53
O 0.2716 0.5000 0.2906  2 Hg 2.28, 1 Pm 2.46
O 0.7284 0.5000 0.7094  2 Hg 2.28, 1 Pm 2.46
O 0.7879 0.0000 0.2534  2 Pm 2.33, 3 Na 2.38-2.53

## Properties
SG: P2/m (10)
ΔE_f (raw) (kJ/mol of formula units): -1238
Total magnetization (μB/cell): 1.0

Entry from Alexandria via LeMat-Bulk: Cu3W after structural relaxation (PBE).

Cell lengths 3.7581, 3.7581, 3.7581 Å; angles 90.00, 90.00, 90.00 degrees
Closest atoms and distances in Å follow each position.
Fractional positions:
Cu 0.0000 0.0000 0.5000  4 W 2.66, 8 Cu 2.66
Cu 0.0000 0.5000 0.0000  4 W 2.66, 8 Cu 2.66
Cu 0.5000 0.0000 0.0000  4 W 2.66, 8 Cu 2.66
W 0.5000 0.5000 0.5000  12 Cu 2.66

## Properties
SG: Pm-3m (221)
Energy of formation from the pure elements (kJ/mol of atoms): 54.1
Total magnetization (μB/cell): 0.9